NaHg6Pb after structural relaxation, computed with PBE-GGA.

It has space group Amm2 (No. 38), with a = 5.196 Å, b = 7.605 Å, c = 10.663 Å, α = 90.00°, β = 90.00° and γ = 90.00°. The distinct sites, in fractional coordinates, are Na at (0.000, 0.000, 0.000), Hg at (0.000, 0.000, 0.541), Hg at (0.000, 0.216, 0.271), Hg at (0.500, 0.000, 0.187), Hg at (0.500, 0.221, 0.468) and Pb at (0.500, 0.000, 0.744).

The total energy comes out at -0.939 eV per atom. The crystal system is orthorhombic. Its offset from the most stable computed form is 0 meV/atom. For the energy relative to the elements, the calculation gives -85 meV per atom.

Na8HgPb2 after structural relaxation, computed with PBE-GGA.

It has space group Immm (No. 71), with a = 5.543 Å, b = 7.503 Å, c = 16.337 Å, α = 90.00°, β = 90.00° and γ = 90.00°. The distinct sites, in fractional coordinates, are Na at (0.000, 0.000, 0.176), Na at (0.000, 0.231, 0.348), Na at (0.000, 0.280, 0.000), Hg at (0.000, 0.500, 0.500) and Pb at (0.000, 0.500, 0.182).

The total energy comes out at -1.793 eV per atom. The crystal system is orthorhombic. Its offset from the most stable computed form is 0 meV/atom. For the energy relative to the elements, the calculation gives -132 meV per atom.

NaHg6Pb after structural relaxation, computed with PBE-GGA.

It has space group P4/mmm (No. 123), with a = 4.691 Å, b = 4.691 Å, c = 9.568 Å, α = 90.00°, β = 90.00° and γ = 90.00°. The distinct sites, in fractional coordinates, are Na at (0.000, 0.000, 0.000), Hg at (0.000, 0.500, 0.241), Hg at (0.500, 0.500, 0.000), Hg at (0.500, 0.500, 0.500) and Pb at (0.000, 0.000, 0.500).

The total energy comes out at -0.936 eV per atom. The crystal system is tetragonal. Its offset from the most stable computed form is 3 meV/atom. For the energy relative to the elements, the calculation gives -82 meV per atom.

NaHg7Pb12 after structural relaxation, computed with PBE-GGA.

It has space group R-3 (No. 148, hexagonal axes), with a = 12.9600 Å, b = 12.9600 Å, c = 12.5978 Å, α = 90.00°, β = 90.00° and γ = 120.00°. The distinct sites, in fractional coordinates, are Na at (0.0000, 0.0000, 0.0000), Hg at (0.0000, 0.0000, 0.5000), Hg at (0.0747, 0.9116, 0.7901), Pb at (0.0432, 0.4578, 0.6950) and Pb at (0.0569, 0.8103, 0.4085).

The total energy comes out at -2.348 eV per atom. The crystal system is trigonal. For the energy relative to the elements, the calculation gives 48 meV per atom.

Na5Hg2Pb2 after structural relaxation, computed with PBE-GGA.

It has space group Cmce (No. 64), with a = 17.647 Å, b = 7.891 Å, c = 7.778 Å, α = 90.00°, β = 90.00° and γ = 90.00°. The distinct sites, in fractional coordinates, are Na at (0.000, 0.000, 0.000), Na at (0.139, 0.214, 0.286), Hg at (0.000, 0.131, 0.625) and Pb at (0.243, 0.000, 0.000).

The total energy comes out at -1.744 eV per atom. The crystal system is orthorhombic. Its offset from the most stable computed form is 45 meV/atom. For the energy relative to the elements, the calculation gives -120 meV per atom.

Na2HgPb after structural relaxation, computed with PBE-GGA.

It has space group P4/mmm (No. 123), with a = 3.585 Å, b = 3.585 Å, c = 8.548 Å, α = 90.00°, β = 90.00° and γ = 90.00°. The distinct sites, in fractional coordinates, are Na at (0.000, 0.000, 0.241), Hg at (0.500, 0.500, 0.000) and Pb at (0.500, 0.500, 0.500).

The total energy comes out at -1.842 eV per atom. The crystal system is tetragonal. For the energy relative to the elements, the calculation gives -180 meV per atom.

NaHg8Pb2 after structural relaxation, computed with PBE-GGA.

It has space group P-1 (No. 2), with a = 5.141 Å, b = 7.874 Å, c = 8.370 Å, α = 113.00°, β = 97.46° and γ = 102.96°. The distinct sites, in fractional coordinates, are Na at (0.000, 0.000, 0.000), Hg at (0.104, 0.169, 0.451), Hg at (0.177, 0.356, 0.909), Hg at (0.371, 0.724, 0.825), Hg at (0.463, 0.919, 0.258) and Pb at (0.256, 0.543, 0.356).

The total energy comes out at -1.054 eV per atom. The crystal system is triclinic. For the energy relative to the elements, the calculation gives -41 meV per atom.

Na3Hg7Pb after structural relaxation, computed with PBE-GGA.

It has space group Cmcm (No. 63), with a = 4.190 Å, b = 24.434 Å, c = 11.928 Å, α = 90.00°, β = 90.00° and γ = 90.00°. The distinct sites, in fractional coordinates, are Na at (0.000, 0.139, 0.080), Na at (0.000, 0.173, 0.750), Hg at (0.000, 0.271, 0.086), Hg at (0.000, 0.303, 0.750), Hg at (0.000, 0.398, 0.107), Hg at (0.000, 0.459, 0.612) and Pb at (0.000, 0.032, 0.750).

The total energy comes out at -1.037 eV per atom. The crystal system is orthorhombic. For the energy relative to the elements, the calculation gives -148 meV per atom.

Q: What is the energy relative to the elements in the fifth record?
A: -120 meV per atom

Repeat the second record exactly.
Na8HgPb2 after structural relaxation, computed with PBE-GGA.

It has space group Immm (No. 71), with a = 5.543 Å, b = 7.503 Å, c = 16.337 Å, α = 90.00°, β = 90.00° and γ = 90.00°. The distinct sites, in fractional coordinates, are Na at (0.000, 0.000, 0.176), Na at (0.000, 0.231, 0.348), Na at (0.000, 0.280, 0.000), Hg at (0.000, 0.500, 0.500) and Pb at (0.000, 0.500, 0.182).

The total energy comes out at -1.793 eV per atom. The crystal system is orthorhombic. Its offset from the most stable computed form is 0 meV/atom. For the energy relative to the elements, the calculation gives -132 meV per atom.